# HfNbTlO6

An optimized crystal structure of HfNbTlO6 (PBE-GGA, Alexandria).

Lattice parameters (Å, degrees): 4.9506 4.9506 9.7913 90.00 90.00 90.00
Sites, in units of the cell vectors:
Hf 0.0000 0.0000 0.0000
Hf 0.5000 0.5000 0.5000
Nb 0.0000 0.0000 0.6642
Nb 0.5000 0.5000 0.1642
Tl 0.0000 0.0000 0.3310
Tl 0.5000 0.5000 0.8310
O 0.1803 0.1803 0.8282
O 0.2031 0.2031 0.5189
O 0.2117 0.2117 0.1511
O 0.2883 0.7117 0.6511
O 0.2969 0.7031 0.0189
O 0.3197 0.6803 0.3282
O 0.6803 0.3197 0.3282
O 0.7031 0.2969 0.0189
O 0.7117 0.2883 0.6511
O 0.7883 0.7883 0.1511
O 0.7969 0.7969 0.5189
O 0.8197 0.8197 0.8282

Space-group type   No. 102
Total magnetization   0.00 μB/cell
Electronic total energy   -145.84 eV for the cell shown